The following is a GGA-PBEsol calculation of a geometry-optimized CaYO3 structure, from Alexandria via LeMat-Bulk.

```
data_CaYO3
_chemical_formula_sum 'Ca1 Y1 O3'
_symmetry_space_group_name_H-M 'P 1'
_symmetry_Int_Tables_number 1
_symmetry_space_group_name_Hall 'P 1'
_cell_length_a 4.2847
_cell_length_b 4.2847
_cell_length_c 4.2847
_cell_angle_alpha 90.00
_cell_angle_beta 90.00
_cell_angle_gamma 90.00
loop_
_atom_site_label
_atom_site_type_symbol
_atom_site_fract_x
_atom_site_fract_y
_atom_site_fract_z
Ca1 Ca 0.0000 0.0000 0.0000
Y1 Y 0.5000 0.5000 0.5000
O1 O 0.0000 0.5000 0.5000
O2 O 0.5000 0.0000 0.5000
O3 O 0.5000 0.5000 0.0000
```



The following is a GGA-PBEsol calculation of a geometry-optimized CaZnO2 structure, from Alexandria via LeMat-Bulk.

```
data_CaZnO2
_chemical_formula_sum 'Ca2 Zn2 O4'
_symmetry_space_group_name_H-M 'P 1'
_symmetry_Int_Tables_number 1
_symmetry_space_group_name_Hall 'P 1'
_cell_length_a 5.8936
_cell_length_b 5.8936
_cell_length_c 5.8936
_cell_angle_alpha 130.99
_cell_angle_beta 130.99
_cell_angle_gamma 71.83
loop_
_atom_site_label
_atom_site_type_symbol
_atom_site_fract_x
_atom_site_fract_y
_atom_site_fract_z
Ca1 Ca 0.0000 0.0000 0.0000
Ca2 Ca 0.7500 0.2500 0.5000
Zn1 Zn 0.2500 0.7500 0.5000
Zn2 Zn 0.5000 0.5000 0.0000
O1 O 0.1666 0.6250 0.0416
O2 O 0.3750 0.4166 0.5416
O3 O 0.5834 0.1250 0.9584
O4 O 0.8750 0.8334 0.4584
```



The following is a GGA-PBEsol calculation of a geometry-optimized CaZr4O9 structure, from Alexandria via LeMat-Bulk.

```
data_CaZr4O9
_chemical_formula_sum 'Ca2 Zr8 O18'
_symmetry_space_group_name_H-M 'P 1'
_symmetry_Int_Tables_number 1
_symmetry_space_group_name_Hall 'P 1'
_cell_length_a 16.3613
_cell_length_b 16.3613
_cell_length_c 6.0913
_cell_angle_alpha 92.50
_cell_angle_beta 92.50
_cell_angle_gamma 12.13
loop_
_atom_site_label
_atom_site_type_symbol
_atom_site_fract_x
_atom_site_fract_y
_atom_site_fract_z
Ca1 Ca 0.0000 0.0000 0.0000
Ca2 Ca 0.5000 0.5000 0.5000
Zr1 Zr 0.0874 0.0874 0.6701
Zr2 Zr 0.1919 0.1919 0.3972
Zr3 Zr 0.2933 0.2933 0.1159
Zr4 Zr 0.3948 0.3948 0.8246
Zr5 Zr 0.6052 0.6052 0.1754
Zr6 Zr 0.7067 0.7067 0.8841
Zr7 Zr 0.8081 0.8081 0.6028
Zr8 Zr 0.9126 0.9126 0.3299
O1 O 0.0263 0.0263 0.6922
O2 O 0.0725 0.0725 0.0598
O3 O 0.1285 0.1285 0.3940
O4 O 0.1814 0.1814 0.7564
O5 O 0.2299 0.2299 0.1175
O6 O 0.2836 0.2836 0.4737
O7 O 0.3310 0.3310 0.8366
O8 O 0.3896 0.3896 0.1803
O9 O 0.4316 0.4316 0.5588
O10 O 0.5684 0.5684 0.4412
O11 O 0.6104 0.6104 0.8197
O12 O 0.6690 0.6690 0.1634
O13 O 0.7164 0.7164 0.5263
O14 O 0.7701 0.7701 0.8825
O15 O 0.8186 0.8186 0.2436
O16 O 0.8715 0.8715 0.6060
O17 O 0.9275 0.9275 0.9402
O18 O 0.9737 0.9737 0.3078
```



The following is a GGA-PBEsol calculation of a geometry-optimized CaOs3 structure, from Alexandria via LeMat-Bulk.

```
data_CaOs3
_chemical_formula_sum 'Ca1 Os3'
_symmetry_space_group_name_H-M 'P 1'
_symmetry_Int_Tables_number 1
_symmetry_space_group_name_Hall 'P 1'
_cell_length_a 4.6147
_cell_length_b 4.6147
_cell_length_c 2.9194
_cell_angle_alpha 90.00
_cell_angle_beta 90.00
_cell_angle_gamma 90.00
loop_
_atom_site_label
_atom_site_type_symbol
_atom_site_fract_x
_atom_site_fract_y
_atom_site_fract_z
Ca1 Ca 0.0000 0.0000 0.0000
Os1 Os 0.0000 0.5000 0.5000
Os2 Os 0.5000 0.0000 0.5000
Os3 Os 0.5000 0.5000 0.0000
```

Calculated formation energy ... 0.791 eV per atom



The following is a GGA-PBEsol calculation of a geometry-optimized CaOs structure, from Alexandria via LeMat-Bulk.

```
data_CaOs
_chemical_formula_sum 'Ca3 Os3'
_symmetry_space_group_name_H-M 'P 1'
_symmetry_Int_Tables_number 1
_symmetry_space_group_name_Hall 'P 1'
_cell_length_a 5.6260
_cell_length_b 5.6260
_cell_length_c 8.1284
_cell_angle_alpha 108.22
_cell_angle_beta 108.22
_cell_angle_gamma 29.29
loop_
_atom_site_label
_atom_site_type_symbol
_atom_site_fract_x
_atom_site_fract_y
_atom_site_fract_z
Ca1 Ca 0.0000 0.0000 0.0000
Ca2 Ca 0.0141 0.0141 0.3960
Ca3 Ca 0.6949 0.6949 0.7799
Os1 Os 0.2857 0.2857 0.1305
Os2 Os 0.3813 0.3813 0.6315
Os3 Os 0.7493 0.7493 0.3729
```

Calculated formation energy ... 0.438 eV per atom



The following is a GGA-PBEsol calculation of a geometry-optimized CaOs structure, from Alexandria via LeMat-Bulk.

```
data_CaOs
_chemical_formula_sum 'Ca2 Os2'
_symmetry_space_group_name_H-M 'P 1'
_symmetry_Int_Tables_number 1
_symmetry_space_group_name_Hall 'P 1'
_cell_length_a 4.3688
_cell_length_b 3.1149
_cell_length_c 6.7202
_cell_angle_alpha 90.00
_cell_angle_beta 90.00
_cell_angle_gamma 90.00
loop_
_atom_site_label
_atom_site_type_symbol
_atom_site_fract_x
_atom_site_fract_y
_atom_site_fract_z
Ca1 Ca 0.2500 0.0000 0.1974
Ca2 Ca 0.7500 0.0000 0.8026
Os1 Os 0.2500 0.5000 0.5720
Os2 Os 0.7500 0.5000 0.4280
```

Calculated formation energy ... 0.566 eV per atom



The following is a GGA-PBEsol calculation of a geometry-optimized Ca2P2Os structure, from Alexandria via LeMat-Bulk.

```
data_Ca2P2Os
_chemical_formula_sum 'Ca2 P2 Os1'
_symmetry_space_group_name_H-M 'P 1'
_symmetry_Int_Tables_number 1
_symmetry_space_group_name_Hall 'P 1'
_cell_length_a 6.2932
_cell_length_b 6.2932
_cell_length_c 6.2932
_cell_angle_alpha 142.13
_cell_angle_beta 142.13
_cell_angle_gamma 54.63
loop_
_atom_site_label
_atom_site_type_symbol
_atom_site_fract_x
_atom_site_fract_y
_atom_site_fract_z
Ca1 Ca 0.2500 0.7500 0.5000
Ca2 Ca 0.7500 0.2500 0.5000
P1 P 0.0898 0.0898 0.0000
P2 P 0.9102 0.9102 0.0000
Os1 Os 0.5000 0.5000 0.0000
```

Calculated formation energy ... 0.563 eV per atom



The following is a GGA-PBEsol calculation of a geometry-optimized CaOs2Pb structure, from Alexandria via LeMat-Bulk.

```
data_CaOs2Pb
_chemical_formula_sum 'Ca1 Os2 Pb1'
_symmetry_space_group_name_H-M 'P 1'
_symmetry_Int_Tables_number 1
_symmetry_space_group_name_Hall 'P 1'
_cell_length_a 5.0829
_cell_length_b 5.0829
_cell_length_c 5.2483
_cell_angle_alpha 103.40
_cell_angle_beta 103.40
_cell_angle_gamma 35.69
loop_
_atom_site_label
_atom_site_type_symbol
_atom_site_fract_x
_atom_site_fract_y
_atom_site_fract_z
Ca1 Ca 0.0000 0.0000 0.0000
Os1 Os 0.2392 0.2392 0.6946
Os2 Os 0.7608 0.7608 0.3054
Pb1 Pb 0.5000 0.5000 0.5000
```

Calculated formation energy ... 0.802 eV per atom



The following is a GGA-PBEsol calculation of a geometry-optimized CaOs2Pb structure, from Alexandria via LeMat-Bulk.

```
data_CaOs2Pb
_chemical_formula_sum 'Ca1 Os2 Pb1'
_symmetry_space_group_name_H-M 'P 1'
_symmetry_Int_Tables_number 1
_symmetry_space_group_name_Hall 'P 1'
_cell_length_a 6.8632
_cell_length_b 6.8632
_cell_length_c 6.8632
_cell_angle_alpha 34.78
_cell_angle_beta 34.78
_cell_angle_gamma 34.78
loop_
_atom_site_label
_atom_site_type_symbol
_atom_site_fract_x
_atom_site_fract_y
_atom_site_fract_z
Ca1 Ca 0.0000 0.0000 0.0000
Os1 Os 0.2350 0.2350 0.2350
Os2 Os 0.5428 0.5428 0.5428
Pb1 Pb 0.7918 0.7918 0.7918
```

Calculated formation energy ... 0.301 eV per atom



Quick rundown of size of the total moment, same order as above: 1.02 0.00 0.00 0.00 0.00 0.00 0.28 0.00 0.00 Bohr magnetons per cell
Quick rundown of calculated total energy, same order as above: -7.40 -5.66 -9.47 -8.90 -6.74 -6.61 -5.05 -6.84 -7.34 eV per atom